1.
A plane-wave DFT calculation with PBE-GGA was carried out for a relaxed structure of La13Sc3.

M_tot (μB per formula unit): 0.0
DOS(E_F) (states/eV/f.u.): 31.1
Energy (eV per atom): -5.13

Cell: 7.3608 8.6677 8.6677 Å, 85.65 90.00 90.00°
Fractional positions:
La 0.0000 0.0000 0.0000
La 0.0000 0.4427 0.9140
La 0.0000 0.5018 0.5018
La 0.0000 0.9140 0.4427
La 0.2533 0.2433 0.2433
La 0.2573 0.1612 0.6777
La 0.2573 0.6777 0.1612
La 0.5000 0.4301 0.9146
La 0.5000 0.5075 0.5075
La 0.5000 0.9146 0.4301
La 0.7427 0.1612 0.6777
La 0.7427 0.6777 0.1612
La 0.7467 0.2433 0.2433
Sc 0.2590 0.7592 0.7592
Sc 0.5000 0.9917 0.9917
Sc 0.7410 0.7592 0.7592

2.
A plane-wave DFT calculation with PBE-GGA was carried out for a relaxed structure of La3Sc5.

M_tot (μB per formula unit): 0.0
DOS(E_F) (states/eV/f.u.): 11.8
Energy (eV per atom): -5.58

Cell: 9.1175 9.1175 6.3582 Å, 90.00 90.00 120.00°
Fractional positions:
La 0.0000 0.3974 0.2500
La 0.0000 0.6026 0.7500
La 0.3974 0.0000 0.2500
La 0.3974 0.3974 0.7500
La 0.6026 0.0000 0.7500
La 0.6026 0.6026 0.2500
Sc 0.0000 0.2248 0.7500
Sc 0.0000 0.7752 0.2500
Sc 0.2248 0.0000 0.7500
Sc 0.2248 0.2248 0.2500
Sc 0.3333 0.6667 0.0000
Sc 0.3333 0.6667 0.5000
Sc 0.6667 0.3333 0.0000
Sc 0.6667 0.3333 0.5000
Sc 0.7752 0.0000 0.2500
Sc 0.7752 0.7752 0.7500

3.
A plane-wave DFT calculation with PBE-GGA was carried out for a relaxed structure of LaSc.

M_tot (μB per formula unit): 0.0
DOS(E_F) (states/eV/f.u.): 3.8
Energy (eV per atom): -4.85

Cell: 4.7551 4.7551 6.9658 Å, 90.00 90.00 120.00°
Fractional positions:
La 0.0000 0.0000 0.0000
La 0.0000 0.0000 0.5000
Sc 0.3333 0.6667 0.2500
Sc 0.6667 0.3333 0.7500

4.
A plane-wave DFT calculation with PBE-GGA was carried out for a relaxed structure of LaSc.

M_tot (μB per formula unit): 0.2
DOS(E_F) (states/eV/f.u.): 4.7
Energy (eV per atom): -4.41

Cell: 5.6474 5.6474 6.2044 Å, 90.00 90.00 120.00°
Fractional positions:
La 0.3333 0.6667 0.2500
La 0.6667 0.3333 0.7500
Sc 0.3333 0.6667 0.7500
Sc 0.6667 0.3333 0.2500

5.
A plane-wave DFT calculation with PBE-GGA was carried out for a relaxed structure of LaSc3.

M_tot (μB per formula unit): 0.0
DOS(E_F) (states/eV/f.u.): 2.2
Energy (eV per atom): -4.52

Cell: 5.4264 5.4264 5.4264 Å, 90.00 90.00 90.00°
Fractional positions:
La 0.0000 0.0000 0.0000
Sc 0.0000 0.0000 0.5000
Sc 0.0000 0.5000 0.0000
Sc 0.5000 0.0000 0.0000

6.
A plane-wave DFT calculation with PBE-GGA was carried out for a relaxed structure of LaSc.

M_tot (μB per formula unit): 0.0
DOS(E_F) (states/eV/f.u.): 3.5
Energy (eV per atom): -5.55

Cell: 3.5077 3.5077 11.3891 Å, 90.00 90.00 120.00°
Fractional positions:
La 0.3333 0.6667 0.3540
La 0.6667 0.3333 0.6460
Sc 0.3333 0.6667 0.8914
Sc 0.6667 0.3333 0.1086

7.
A plane-wave DFT calculation with PBE-GGA was carried out for a relaxed structure of LaSc.

M_tot (μB per formula unit): 0.0
DOS(E_F) (states/eV/f.u.): 3.5
Energy (eV per atom): -5.54

Cell: 11.5151 11.5151 11.5151 Å, 17.51 17.51 17.51°
Fractional positions:
La 0.1204 0.1204 0.1204
La 0.8796 0.8796 0.8796
Sc 0.3701 0.3701 0.3701
Sc 0.6299 0.6299 0.6299

8.
A plane-wave DFT calculation with PBE-GGA was carried out for a relaxed structure of LaSc3.

M_tot (μB per formula unit): 0.0
DOS(E_F) (states/eV/f.u.): 5.8
Energy (eV per atom): -5.91

Cell: 5.8392 5.8392 5.7911 Å, 99.53 99.53 33.66°
Fractional positions:
La 0.0000 0.0000 0.0000
Sc 0.2470 0.2470 0.7443
Sc 0.5000 0.5000 0.5000
Sc 0.7530 0.7530 0.2557

9.
A plane-wave DFT calculation with PBE-GGA was carried out for a relaxed structure of LaSc.

M_tot (μB per formula unit): 0.0
DOS(E_F) (states/eV/f.u.): 2.3
Energy (eV per atom): -5.56

Cell: 5.8927 5.8927 5.8927 Å, 34.77 34.77 34.77°
Fractional positions:
La 0.0000 0.0000 0.0000
Sc 0.5000 0.5000 0.5000

10.
A plane-wave DFT calculation with PBE-GGA was carried out for a relaxed structure of LaSc.

M_tot (μB per formula unit): 0.0
DOS(E_F) (states/eV/f.u.): 3.0
Energy (eV per atom): -5.41

Cell: 10.4382 9.5729 5.7543 Å, 81.76 65.18 33.06°
Fractional positions:
La 0.0398 0.7102 0.0398
La 0.2898 0.9602 0.2898
La 0.7102 0.0398 0.7102
La 0.9602 0.2898 0.9602
Sc 0.2955 0.2955 0.4545
Sc 0.4545 0.4545 0.2955
Sc 0.5455 0.5455 0.7045
Sc 0.7045 0.7045 0.5455

11.
A plane-wave DFT calculation with PBE-GGA was carried out for a relaxed structure of LaSc.

M_tot (μB per formula unit): 0.0
DOS(E_F) (states/eV/f.u.): 4.0
Energy (eV per atom): -5.39

Cell: 7.4059 7.4059 7.4059 Å, 97.87 97.87 136.55°
Fractional positions:
La 0.0000 0.2975 0.2975
La 0.0000 0.7025 0.7025
La 0.2975 0.0000 0.2975
La 0.7025 0.0000 0.7025
Sc 0.3330 0.3330 0.6660
Sc 0.3330 0.6670 0.0000
Sc 0.6670 0.3330 0.0000
Sc 0.6670 0.6670 0.3340

12.
A plane-wave DFT calculation with PBE-GGA was carried out for a relaxed structure of LaSc.

M_tot (μB per formula unit): 0.0
DOS(E_F) (states/eV/f.u.): 2.6
Energy (eV per atom): -5.46

Cell: 6.2501 6.2501 6.2501 Å, 90.00 90.00 90.00°
Fractional positions:
La 0.0907 0.4093 0.5907
La 0.4093 0.5907 0.0907
La 0.5907 0.0907 0.4093
La 0.9093 0.9093 0.9093
Sc 0.1049 0.8951 0.3951
Sc 0.3951 0.1049 0.8951
Sc 0.6049 0.6049 0.6049
Sc 0.8951 0.3951 0.1049

Question: What is the energy in the tenth record?
Answer: -5.41 eV per atom

Question: Among the records above, which one has the highest DOS(E_F)?
Answer: La13Sc3

Question: Look up the DOS(E_F) of the ninth one.
Answer: 2.3 states/eV/f.u.